# 1
! Na2RhO2 | Alexandria via LeMat-Bulk | PBE | relaxed; values from VASP
&SYSTEM
  ibrav = 0, nat = 10, ntyp = 3
/
ATOMIC_SPECIES
Na 22.99 Na.upf
Rh 102.91 Rh.upf
O 16.00 O.upf
CELL_PARAMETERS angstrom
5.769 0.000 0.000
0.000 5.769 0.000
0.000 0.000 3.607
ATOMIC_POSITIONS angstrom
Na 0.821 3.706 1.804
Na 3.706 4.948 1.804
Na 4.948 2.063 1.804
Na 2.063 0.821 1.804
Rh 0.000 0.000 0.000
Rh 2.885 2.885 0.000
O 1.839 4.723 0.000
O 4.723 3.931 0.000
O 3.931 1.046 0.000
O 1.046 1.839 0.000
! ρ ... 5.00 g/cm3
! SG ... P4/mbm, No. 127
! Total moment ... 1.00 μB/f.u.
! E_form (uncorrected) ... -397 kJ/mol of formula units

---

# 2
! SrS | Alexandria via LeMat-Bulk | PBE | relaxed; values from VASP
&SYSTEM
  ibrav = 0, nat = 2, ntyp = 2
/
ATOMIC_SPECIES
Sr 87.62 Sr.upf
S 32.06 S.upf
CELL_PARAMETERS angstrom
-3.292 -0.219 1.603
-0.192 -3.556 -0.880
1.607 -0.874 3.180
ATOMIC_POSITIONS angstrom
Sr -0.939 -2.325 1.951
S 0.000 0.000 0.000
! ρ ... 4.03 g/cm3
! Polymorph energy (0 for the lowest one) ... 28.9 kJ per mole of atoms
! SG ... Pm-3m, No. 221
! Total moment ... 0.00 μB/f.u.
! E_form (uncorrected) ... -357 kJ/mol of formula units

---

# 3
! TbPm5PrSm2 | Alexandria via LeMat-Bulk | PBE | relaxed; values from VASP
&SYSTEM
  ibrav = 0, nat = 18, ntyp = 4
/
ATOMIC_SPECIES
Tb 158.93 Tb.upf
Pm 145.00 Pm.upf
Pr 140.91 Pr.upf
Sm 150.36 Sm.upf
CELL_PARAMETERS angstrom
8.927 0.000 0.000
0.000 8.927 0.000
-4.463 -4.463 7.810
ATOMIC_POSITIONS angstrom
Tb 0.000 4.463 3.905
Tb 4.463 0.000 3.905
Pm 7.078 2.614 2.138
Pm 2.614 -1.849 5.673
Pm -2.614 1.849 5.673
Pm -1.849 -2.614 5.673
Pm 1.849 2.614 5.673
Pm 6.312 7.078 2.138
Pm 2.614 1.849 2.138
Pm 1.849 6.312 2.138
Pm 4.463 4.463 0.000
Pm 0.000 0.000 0.000
Pr 0.000 0.000 3.905
Pr 4.463 4.463 3.905
Sm 1.036 3.427 0.000
Sm 5.499 1.036 0.000
Sm 3.427 7.891 0.000
Sm 7.891 5.499 0.000
! ρ ... 7.07 g/cm3
! SG ... I4/mcm, No. 140
! Total moment ... 0.00 μB/f.u.
! Formation enthalpy at 0 K ... 272 meV/atom

---

# 4
! GdDy2Tl | Alexandria via LeMat-Bulk | PBE | relaxed; values from VASP
&SYSTEM
  ibrav = 0, nat = 4, ntyp = 3
/
ATOMIC_SPECIES
Tl 204.38 Tl.upf
Gd 157.25 Gd.upf
Dy 162.50 Dy.upf
CELL_PARAMETERS angstrom
3.565 0.000 0.000
1.782 3.087 0.000
1.782 1.029 11.028
ATOMIC_POSITIONS angstrom
Tl 0.000 0.000 0.000
Gd 3.565 2.058 5.514
Dy 1.782 1.029 2.626
Dy 5.347 3.087 8.402
! ρ ... 9.39 g/cm3
! Polymorph energy (0 for the lowest one) ... 9.3 kJ per mole of atoms
! SG ... R-3m, No. 166
! Total moment ... 7.23 μB/f.u.
! Formation enthalpy at 0 K ... -103 meV/atom

---

# 5
! LiEr2Si | Alexandria via LeMat-Bulk | PBE | relaxed; values from VASP
&SYSTEM
  ibrav = 0, nat = 4, ntyp = 3
/
ATOMIC_SPECIES
Si 28.09 Si.upf
Li 6.94 Li.upf
Er 167.26 Er.upf
CELL_PARAMETERS angstrom
3.546 0.000 0.000
1.773 3.071 0.000
1.773 1.024 10.275
ATOMIC_POSITIONS angstrom
Si 3.546 2.048 5.138
Li 0.000 0.000 0.000
Er 1.773 1.024 7.067
Er 5.320 3.071 3.208
! ρ ... 5.48 g/cm3
! SG ... R-3m, No. 166
! Total moment ... 0.00 μB/f.u.
! E_form (uncorrected) ... -2 kJ/mol of formula units

---

# 6
! La2SeN | Alexandria via LeMat-Bulk | PBE | relaxed; values from VASP
&SYSTEM
  ibrav = 0, nat = 8, ntyp = 3
/
ATOMIC_SPECIES
N 14.01 N.upf
Se 78.96 Se.upf
La 138.91 La.upf
CELL_PARAMETERS angstrom
-4.586 -5.145 1.609
4.164 -4.722 -3.233
1.774 -5.599 2.716
ATOMIC_POSITIONS angstrom
N -0.211 -4.934 -0.812
N 2.864 -7.628 -0.664
Se 0.000 0.000 0.000
Se -1.511 -7.839 1.757
La -1.541 -4.800 1.154
La 2.112 -5.400 -1.014
La 1.501 -8.272 1.173
La 0.634 -12.462 0.871
! ρ ... 5.99 g/cm3
! Polymorph energy (0 for the lowest one) ... 19.0 kJ per mole of atoms
! SG ... I-42d, No. 122
! Total moment ... 0.00 μB/f.u.
! E_form (uncorrected) ... -564 kJ/mol of formula units